Entry 1:
First-principles (meta-GGA SCAN) data for KZrSb at its PBEsol-relaxed geometry, as listed in the Alexandria database.

Results
total magnetic moment: 0.163 μB per atom
mass density: 5.02 g/cm³
energy: -25.357 eV per atom
ΔE_f (raw): 0.072 eV/atom

a b c (Å): 3.344 3.344 8.609
angles (deg): 90.00 90.00 120.00
Site moments in Bohr magnetons follow the coordinates.
Sites, in units of the cell vectors:
K (0.000, 0.000, 0.985)  0.01
Sb (0.333, 0.667, 0.642)  -0.01
Zr (0.667, 0.333, 0.373)  0.21

---

Entry 2:
First-principles (meta-GGA SCAN) data for Mn2NbNi3P6O24 at its PBEsol-relaxed geometry, as listed in the Alexandria database.

Results
total magnetic moment: 0.358 μB per atom
mass density: 3.68 g/cm³
energy: -11.328 eV per atom
ΔE_f (raw): -2.159 eV/atom

a b c (Å): 8.391 8.391 8.391
angles (deg): 61.08 61.08 61.08
Site moments in Bohr magnetons follow the coordinates.
Sites, in units of the cell vectors:
O (0.819, 0.613, 0.005)  -0.02
O (0.886, 0.678, 0.491)  -0.01
O (0.390, 0.009, 0.175)  0.00
O (0.067, 0.901, 0.257)  0.01
O (0.005, 0.819, 0.613)  -0.02
O (0.009, 0.175, 0.390)  0.00
O (0.257, 0.067, 0.901)  0.01
O (0.091, 0.750, 0.931)  0.00
O (0.548, 0.757, 0.411)  0.02
O (0.116, 0.311, 0.517)  -0.02
O (0.901, 0.257, 0.067)  0.01
O (0.244, 0.582, 0.451)  -0.03
O (0.757, 0.411, 0.548)  0.02
O (0.750, 0.931, 0.091)  0.00
O (0.491, 0.886, 0.678)  -0.01
O (0.411, 0.548, 0.757)  0.02
O (0.517, 0.116, 0.311)  -0.02
O (0.175, 0.390, 0.009)  0.00
O (0.613, 0.005, 0.819)  -0.02
O (0.678, 0.491, 0.886)  -0.01
O (0.931, 0.091, 0.750)  0.00
O (0.582, 0.451, 0.244)  -0.03
O (0.311, 0.517, 0.116)  -0.02
O (0.451, 0.244, 0.582)  -0.03
Mn (0.996, 0.996, 0.996)  4.34
Mn (0.500, 0.500, 0.500)  4.13
P (0.039, 0.740, 0.467)  0.03
P (0.552, 0.955, 0.253)  0.03
P (0.253, 0.552, 0.955)  0.03
P (0.740, 0.467, 0.039)  0.03
P (0.955, 0.253, 0.552)  0.03
P (0.467, 0.039, 0.740)  0.03
Nb (0.142, 0.142, 0.142)  0.03
Ni (0.856, 0.856, 0.856)  1.29
Ni (0.359, 0.359, 0.359)  1.33
Ni (0.640, 0.640, 0.640)  1.42

---

Entry 3:
First-principles (meta-GGA SCAN) data for SmCo3 at its PBEsol-relaxed geometry, as listed in the Alexandria database.

Results
total magnetic moment: 0.947 μB per atom
mass density: 9.62 g/cm³
formation energy from the elements: -0.006 eV per atom
energy: -24.095 eV per atom

a b c (Å): 4.920 4.920 8.564
angles (deg): 73.31 73.31 60.00
Site moments in Bohr magnetons follow the coordinates.
Sites, in units of the cell vectors:
Sm (0.000, 0.000, 0.000)  -0.32
Sm (0.860, 0.860, 0.420)  -0.38
Sm (0.140, 0.140, 0.580)  -0.38
Co (0.420, 0.919, 0.241)  1.45
Co (0.081, 0.580, 0.759)  1.45
Co (0.666, 0.666, 0.001)  1.65
Co (0.580, 0.580, 0.759)  1.45
Co (0.420, 0.420, 0.241)  1.45
Co (0.919, 0.420, 0.241)  1.45
Co (0.500, 0.500, 0.500)  1.34
Co (0.334, 0.334, 0.999)  1.65
Co (0.580, 0.081, 0.759)  1.45

---

Entry 4:
First-principles (meta-GGA SCAN) data for ScNi2Te at its PBEsol-relaxed geometry, as listed in the Alexandria database.

Results
total magnetic moment: 0.000 μB per atom
mass density: 7.95 g/cm³
energy: -21.346 eV per atom
ΔE_f (raw): -0.387 eV/atom

a b c (Å): 3.770 4.009 4.009
angles (deg): 90.00 90.00 90.00
Sites, in units of the cell vectors:
Ni (0.000, 0.000, 0.500)
Ni (0.000, 0.500, 0.000)
Sc (0.500, 0.500, 0.500)
Te (0.500, 0.000, 0.000)

---

Entry 5:
First-principles (meta-GGA SCAN) data for Ta11Rh4 at its PBEsol-relaxed geometry, as listed in the Alexandria database.

Results
total magnetic moment: 0.000 μB per atom
mass density: 15.85 g/cm³
formation energy from the elements: -0.302 eV per atom
energy: -58.135 eV per atom

a b c (Å): 5.189 9.849 9.849
angles (deg): 90.00 90.00 90.00
Sites, in units of the cell vectors:
Ta (0.000, 0.934, 0.725)
Ta (0.500, 0.566, 0.225)
Ta (0.000, 0.725, 0.934)
Ta (0.752, 0.320, 0.320)
Ta (0.248, 0.680, 0.680)
Ta (0.000, 0.394, 0.606)
Ta (0.500, 0.500, 0.500)
Ta (0.000, 0.066, 0.275)
Ta (0.752, 0.680, 0.680)
Ta (0.500, 0.434, 0.775)
Ta (0.000, 0.275, 0.066)
Ta (0.748, 0.820, 0.180)
Ta (0.500, 0.894, 0.894)
Ta (0.000, 0.606, 0.394)
Ta (0.252, 0.180, 0.820)
Ta (0.000, 0.000, 0.000)
Ta (0.248, 0.320, 0.320)
Ta (0.500, 0.775, 0.434)
Ta (0.500, 0.106, 0.106)
Ta (0.748, 0.180, 0.820)
Ta (0.500, 0.225, 0.566)
Ta (0.252, 0.820, 0.180)
Rh (0.500, 0.639, 0.962)
Rh (0.000, 0.538, 0.139)
Rh (0.000, 0.861, 0.462)
Rh (0.000, 0.139, 0.538)
Rh (0.500, 0.038, 0.361)
Rh (0.000, 0.462, 0.861)
Rh (0.500, 0.962, 0.639)
Rh (0.500, 0.361, 0.038)

---

Entry 6:
First-principles (meta-GGA SCAN) data for SrLi3Bi at its PBEsol-relaxed geometry, as listed in the Alexandria database.

Results
total magnetic moment: 0.000 μB per atom
mass density: 3.53 g/cm³
formation energy from the elements: -0.240 eV per atom
energy: -21.845 eV per atom

a b c (Å): 5.305 5.305 5.305
angles (deg): 90.00 90.00 90.00
Sites, in units of the cell vectors:
Li (0.500, 0.000, 0.000)
Li (0.000, 0.000, 0.500)
Li (0.000, 0.500, 0.000)
Sr (0.500, 0.500, 0.500)
Bi (0.000, 0.000, 0.000)

---

Entry 7:
First-principles (meta-GGA SCAN) data for ZnWF3 at its PBEsol-relaxed geometry, as listed in the Alexandria database.

Results
total magnetic moment: 0.600 μB per atom
mass density: 6.93 g/cm³
energy: -19.944 eV per atom
ΔE_f (raw): -1.180 eV/atom

a b c (Å): 4.187 4.187 4.187
angles (deg): 90.00 90.00 90.00
Site moments in Bohr magnetons follow the coordinates.
Sites, in units of the cell vectors:
Zn (0.500, 0.500, 0.500)  -0.01
F (0.000, 0.500, 0.000)  0.07
F (0.500, 0.000, 0.000)  0.07
F (0.000, 0.000, 0.500)  0.07
W (0.000, 0.000, 0.000)  2.42

---

Entry 8:
First-principles (meta-GGA SCAN) data for ScZn2Os at its PBEsol-relaxed geometry, as listed in the Alexandria database.

Results
total magnetic moment: 0.140 μB per atom
mass density: 10.17 g/cm³
formation energy from the elements: -0.163 eV per atom
energy: -28.450 eV per atom

a b c (Å): 2.745 4.016 5.421
angles (deg): 90.00 90.00 90.00
Site moments in Bohr magnetons follow the coordinates.
Sites, in units of the cell vectors:
Os (0.500, 0.500, 0.000)  0.19
Zn (0.000, 0.000, 0.228)  0.00
Zn (0.000, 0.000, 0.772)  0.00
Sc (0.500, 0.500, 0.500)  0.29

---

Entry 9:
First-principles (meta-GGA SCAN) data for Ca2TeRu at its PBEsol-relaxed geometry, as listed in the Alexandria database.

Results
total magnetic moment: 0.237 μB per atom
mass density: 5.81 g/cm³
energy: -23.191 eV per atom
ΔE_f (raw): -0.340 eV/atom

a b c (Å): 4.022 4.686 4.686
angles (deg): 90.00 90.00 90.00
Site moments in Bohr magnetons follow the coordinates.
Sites, in units of the cell vectors:
Te (0.500, 0.000, 0.000)  0.00
Ca (0.000, 0.000, 0.500)  -0.03
Ca (0.000, 0.500, 0.000)  -0.03
Ru (0.500, 0.500, 0.500)  0.98

---

Entry 10:
First-principles (meta-GGA SCAN) data for Be3Au5 at its PBEsol-relaxed geometry, as listed in the Alexandria database.

Results
total magnetic moment: 0.000 μB per atom
mass density: 15.24 g/cm³
formation energy from the elements: -0.193 eV per atom
energy: -45.049 eV per atom

a b c (Å): 5.206 6.995 6.995
angles (deg): 120.00 90.00 90.00
Sites, in units of the cell vectors:
Au (0.750, 0.759, 0.759)
Au (0.000, 0.333, 0.667)
Au (0.750, 0.000, 0.241)
Au (0.000, 0.667, 0.333)
Au (0.250, 0.759, 0.000)
Au (0.500, 0.333, 0.667)
Au (0.250, 0.241, 0.241)
Au (0.500, 0.667, 0.333)
Au (0.750, 0.241, 0.000)
Au (0.250, 0.000, 0.759)
Be (0.750, 0.000, 0.599)
Be (0.250, 0.599, 0.599)
Be (0.750, 0.599, 0.000)
Be (0.250, 0.000, 0.401)
Be (0.250, 0.401, 0.000)
Be (0.750, 0.401, 0.401)

---

Entry 11:
First-principles (meta-GGA SCAN) data for InSbPS2 at its PBEsol-relaxed geometry, as listed in the Alexandria database.

Results
total magnetic moment: 0.000 μB per atom
mass density: 4.46 g/cm³
energy: -19.582 eV per atom
ΔE_f (raw): 0.479 eV/atom

a b c (Å): 4.958 4.958 5.025
angles (deg): 90.00 90.00 90.00
Sites, in units of the cell vectors:
In (0.500, 0.500, 0.500)
P (0.000, 0.000, 0.500)
S (0.500, 0.000, 0.000)
S (0.000, 0.500, 0.000)
Sb (0.000, 0.000, 0.000)

---

Entry 12:
First-principles (meta-GGA SCAN) data for YAg3 at its PBEsol-relaxed geometry, as listed in the Alexandria database.

Results
total magnetic moment: 0.000 μB per atom
mass density: 8.79 g/cm³
formation energy from the elements: -0.241 eV per atom
energy: -30.727 eV per atom

a b c (Å): 4.795 4.795 4.795
angles (deg): 60.00 60.00 60.00
Sites, in units of the cell vectors:
Ag (0.000, 0.000, 0.000)
Ag (0.250, 0.250, 0.250)
Ag (0.750, 0.750, 0.750)
Y (0.500, 0.500, 0.500)